(1)
Pr2ICl5 after structural relaxation. Source: the Alexandria database, functional GGA-PBE.

Computed properties:
- calculated total energy (hartree per atom) = -0.1685
- symmetry = No. 71
- total magnetization (μB per formula unit) = 0.0
- DOS(E_F) (states/eV per atom) = 0.00
- energy relative to the elements, uncorrected (eV per atom) = -2.042
- volume (Å³ per atom) = 28.2

```
8
Lattice="-2.351 -1.012 3.952 -0.171 -7.385 0.812 4.901 -2.057 5.195" Properties=species:S:1:pos:R:3 pbc="T T T"
Cl 0.946 -2.823 5.450
Cl 2.365 -4.721 3.004
Cl -0.941 -4.806 3.820
Cl 1.433 -7.631 4.509
Cl 3.319 -5.649 6.139
Pr 0.645 -2.674 2.504
Pr 1.733 -7.780 7.454
I 0.000 0.000 0.000
```

***

(2)
PrICl after structural relaxation. Source: the Alexandria database, functional GGA-PBE.

Computed properties:
- calculated total energy (hartree per atom) = -0.1595
- symmetry = No. 156
- relative energy among the computed polymorphs (meV/atom) = 44
- total magnetization (μB per formula unit) = 0.0
- DOS(E_F) (states/eV per atom) = 0.54
- energy relative to the elements, uncorrected (eV per atom) = -1.615
- volume (Å³ per atom) = 37.8

```
3
Lattice="-4.027 0.267 0.785 2.053 -3.437 0.936 1.560 2.848 7.036" Properties=species:S:1:pos:R:3 pbc="T T T"
I 0.123 0.224 0.553
Cl 0.915 -0.581 4.890
Pr -1.451 0.036 3.314
```

***

(3)
PrICl after structural relaxation. Source: the Alexandria database, functional GGA-PBE.

Computed properties:
- calculated total energy (hartree per atom) = -0.1600
- symmetry = No. 2
- relative energy among the computed polymorphs (meV/atom) = 30
- total magnetization (μB per formula unit) = 0.0
- DOS(E_F) (states/eV per atom) = 0.59
- energy relative to the elements, uncorrected (eV per atom) = -1.629
- volume (Å³ per atom) = 38.4

```
6
Lattice="4.136 0.000 -0.013 0.004 6.965 0.933 1.981 3.677 8.489" Properties=species:S:1:pos:R:3 pbc="T T T"
I 2.019 1.505 2.011
I 4.101 9.137 7.399
Cl 2.033 5.684 6.414
Cl 4.088 4.958 2.996
Pr 4.096 7.083 4.946
Pr 2.024 3.559 4.463
```

***

(4)
PrICl after structural relaxation. Source: the Alexandria database, functional GGA-PBE.

Computed properties:
- calculated total energy (hartree per atom) = -0.1611
- symmetry = No. 11
- relative energy among the computed polymorphs (meV/atom) = 0
- total magnetization (μB per formula unit) = 0.0
- DOS(E_F) (states/eV per atom) = 0.11
- energy relative to the elements, uncorrected (eV per atom) = -1.659
- volume (Å³ per atom) = 36.5

```
6
Lattice="5.222 0.000 -0.117 0.000 5.226 0.000 -1.463 0.000 8.058" Properties=species:S:1:pos:R:3 pbc="T T T"
Pr 3.186 3.919 3.941
Pr 0.574 1.306 4.000
Cl 3.219 1.306 5.400
Cl 0.540 3.919 2.541
I 3.139 1.306 1.853
I 0.620 3.919 6.088
```